1.
This record from Alexandria via LeMat-Bulk describes crystalline RbCoHS2 at its relaxed geometry. The functional is GGA-PBE.

```
5
Lattice="-4.9105 1.7990 -1.8028 -1.3751 -1.5178 2.2309 0.4217 4.4359 3.2778" Properties=species:S:1:pos:R:3 pbc="T T T"
H 0.0000 0.0000 0.0000
S 0.2108 2.2180 1.6389
S -2.4552 0.8995 -0.9014
Co -0.6876 -0.7589 1.1155
Rb -2.9320 2.3585 1.8530
```

* ΔE to the lowest computed polymorph: 0 meV/atom
* total magnetization: 1.8 μB per cell



2.
This record from Alexandria via LeMat-Bulk describes crystalline Y2NiPt2 at its relaxed geometry. The functional is GGA-PBE.

```
10
Lattice="7.2810 0.0000 0.0000 0.0000 7.2810 0.0000 0.0000 0.0000 3.8955" Properties=species:S:1:pos:R:3 pbc="T T T"
Y 1.2469 4.8874 1.9478
Y 4.8874 6.0341 1.9478
Y 6.0341 2.3936 1.9478
Y 2.3936 1.2469 1.9478
Ni 0.0000 0.0000 0.0000
Ni 3.6405 3.6405 0.0000
Pt 2.6482 6.2887 0.0000
Pt 6.2887 4.6328 0.0000
Pt 4.6328 0.9923 0.0000
Pt 0.9923 2.6482 0.0000
```

* energy of formation: -403 kJ/mol of formula units
* total magnetization: 0.0 μB per cell